CaCdPd | PBE-GGA | optimized geometry

Unit cell a=5.917 b=12.404 c=7.875 alpha=90.00 beta=90.00 gamma=90.00
Space group Cmce (No. 64)
Asymmetric unit:
Ca1 0.000 0.183 0.098 x8
Cd1 0.250 0.057 0.750 x8
Pd1 0.000 0.103 0.447 x8

E ... -3.19 eV/atom
Spin magnetization ... 0.00 μB/f.u.

---

TlAg2Pd4 | PBE-GGA | optimized geometry

Unit cell a=4.5406 b=4.5406 c=21.8686 alpha=90.00 beta=90.00 gamma=120.00
Space group R-3m (No. 166, hexagonal axes)
Asymmetric unit:
Tl1 0.0000 0.0000 0.0000 x3
Ag1 0.0000 0.0000 0.2485 x6
Pd1 0.0000 0.0000 0.1267 x6
Pd2 0.0000 0.0000 0.3817 x6

E ... -4.03 eV/atom
Energy relative to the lowest polymorph listed for this composition ... 0.0312 eV per atom
Spin magnetization ... 0.00 μB/f.u.

---

Mn3CdPt6 | PBE-GGA | optimized geometry

Unit cell a=7.437 b=4.601 c=9.866 alpha=90.00 beta=111.49 gamma=90.00
Space group P2_1/m (No. 11)
Asymmetric unit:
Mn1 0.084 0.250 0.217 x2
Mn2 0.295 0.250 0.021 x2
Mn3 0.323 0.750 0.372 x2
Cd1 0.117 0.750 0.576 x2
Pt1 0.078 0.250 0.734 x2
Pt2 0.115 0.750 0.073 x2
Pt3 0.296 0.250 0.518 x2
Pt4 0.309 0.750 0.876 x2
Pt5 0.475 0.250 0.316 x2
Pt6 0.483 0.250 0.823 x2

E ... -6.77 eV/atom
Spin magnetization ... 13.03 μB/f.u.

---

Pm3Tm4Cd4 | PBE-GGA | optimized geometry

Unit cell a=5.275 b=7.219 c=16.847 alpha=90.00 beta=90.00 gamma=90.00
Space group Immm (No. 71)
Asymmetric unit:
Pm1 0.000 0.000 0.000 x2
Pm2 0.000 0.500 0.107 x4
Tm1 0.000 0.268 0.319 x8
Cd1 0.000 0.000 0.185 x4
Cd2 0.000 0.203 0.500 x4

E ... -3.37 eV/atom
Spin magnetization ... 0.00 μB/f.u.

---

Which formula does entry 4 have?
Pm3Tm4Cd4